[1]
# ZrW

A relaxed ZrW crystal (GGA-PBE, the Open Quantum Materials Database).

Structure (POSCAR):
```
ZrW
1.0
6.610 0.000 0.000
0.000 4.815 0.000
-1.643 0.000 7.124
Zr W
6 6
Cartesian
0.768 1.204 0.183 Zr
0.831 1.204 4.714 Zr
0.792 3.611 7.008 Zr
4.175 1.204 0.116 Zr
4.136 3.611 2.410 Zr
4.199 3.611 6.941 Zr
-0.837 3.611 4.627 W
0.838 3.611 2.538 W
2.459 1.204 2.477 W
2.508 3.611 4.646 W
4.129 1.204 4.586 W
5.804 1.204 2.496 W
```

Calculated values
DFT formation energy = 0.1637 eV per atom



[2]
# RbTmCd

A relaxed RbTmCd crystal (GGA-PBE, the Open Quantum Materials Database).

Structure (POSCAR):
```
RbTmCd
1.0
7.743 0.000 0.000
0.000 7.743 0.000
0.000 0.000 7.743
Rb Tm Cd
4 4 4
Cartesian
0.000 0.000 0.000 Rb
0.000 3.872 3.872 Rb
3.872 0.000 3.872 Rb
3.872 3.872 0.000 Rb
1.936 1.936 5.807 Tm
1.936 5.807 1.936 Tm
5.807 1.936 1.936 Tm
5.807 5.807 5.807 Tm
0.000 0.000 3.872 Cd
0.000 3.872 0.000 Cd
3.872 0.000 0.000 Cd
3.872 3.872 3.872 Cd
```



[3]
# Re2Ag

A relaxed Re2Ag crystal (GGA-PBE, the Open Quantum Materials Database).

Structure (POSCAR):
```
Re2Ag
1.0
0.000 3.688 3.688
3.688 0.000 3.688
3.688 3.688 0.000
Re Ag
4 2
Cartesian
0.000 0.000 0.000 Re
1.844 1.844 0.000 Re
1.844 0.000 1.844 Re
0.000 1.844 1.844 Re
2.766 2.766 2.766 Ag
4.610 4.610 4.610 Ag
```

Calculated values
DFT formation energy = 0.7618 eV per atom



[4]
# Dy2TmLu4Ni2Te2

A relaxed Dy2TmLu4Ni2Te2 crystal (GGA-PBE, the Open Quantum Materials Database).

Structure (POSCAR):
```
Dy2TmLu4Ni2Te2
1.0
-1.909 7.669 4.719
1.909 -7.669 4.719
1.909 7.669 -4.719
Dy Tm Lu Ni Te
2 1 4 2 2
Cartesian
0.000 2.249 0.000 Dy
0.000 13.088 0.000 Dy
0.000 7.669 2.552 Tm
1.909 -2.071 3.330 Lu
1.909 4.832 1.389 Lu
1.909 2.071 3.330 Lu
0.000 2.837 6.108 Lu
1.909 3.637 -1.521 Ni
0.000 4.032 3.198 Ni
1.909 0.000 1.044 Te
0.000 0.000 4.751 Te
```



[5]
# AcAgO3

A relaxed AcAgO3 crystal (GGA-PBE, the Open Quantum Materials Database).

Structure (POSCAR):
```
AcAgO3
1.0
6.225 0.000 0.000
0.000 8.526 0.000
0.000 0.000 6.008
Ac Ag O
4 4 12
Cartesian
0.000 0.000 0.000 Ac
0.000 4.263 0.000 Ac
3.112 0.000 3.004 Ac
3.112 4.263 3.004 Ac
0.250 2.132 3.001 Ag
2.862 6.395 6.005 Ag
3.362 2.132 0.003 Ag
5.974 6.395 3.007 Ag
0.959 6.395 0.865 O
0.968 4.988 3.862 O
0.968 7.802 3.862 O
2.144 0.725 0.858 O
2.144 3.538 0.858 O
2.153 2.132 3.869 O
4.072 6.395 2.139 O
4.081 4.988 5.150 O
4.081 7.802 5.150 O
5.256 0.725 2.146 O
5.256 3.538 2.146 O
5.265 2.132 5.143 O
```



[6]
# NaTbHg3S4

A relaxed NaTbHg3S4 crystal (GGA-PBE, the Open Quantum Materials Database).

Structure (POSCAR):
```
NaTbHg3S4
1.0
6.423 0.000 0.000
0.000 7.805 0.000
-0.601 0.000 12.004
Na Tb Hg S
2 2 6 8
Cartesian
0.832 1.951 4.543 Na
4.990 5.854 7.461 Na
1.973 1.951 9.543 Tb
3.850 5.854 2.461 Tb
0.767 5.854 3.737 Hg
1.959 0.238 0.534 Hg
1.959 3.665 0.534 Hg
3.864 4.141 11.470 Hg
3.864 7.567 11.470 Hg
5.056 1.951 8.268 Hg
-0.236 1.951 11.341 S
0.805 1.951 7.239 S
2.229 0.045 3.137 S
2.229 3.858 3.137 S
3.594 3.948 8.867 S
3.594 7.760 8.867 S
5.018 5.854 4.765 S
6.058 5.854 0.663 S
```



[7]
# In2Pd7

A relaxed In2Pd7 crystal (GGA-PBE, the Open Quantum Materials Database).

Structure (POSCAR):
```
In2Pd7
1.0
2.507 -1.447 0.000
2.507 1.447 0.000
-0.045 0.000 31.906
In Pd
2 7
Cartesian
0.828 0.000 7.037 In
4.141 0.000 24.869 In
0.806 0.000 20.321 Pd
0.817 0.000 13.780 Pd
2.496 0.000 9.333 Pd
2.485 0.000 15.953 Pd
2.473 0.000 22.573 Pd
4.152 0.000 18.127 Pd
4.163 0.000 11.585 Pd
```



[8]
# TmSc2Cu4Si2Ge2

A relaxed TmSc2Cu4Si2Ge2 crystal (GGA-PBE, the Open Quantum Materials Database).

Structure (POSCAR):
```
TmSc2Cu4Si2Ge2
1.0
-2.011 3.286 6.676
2.011 -3.286 6.676
2.011 3.286 -6.676
Tm Sc Cu Si Ge
1 2 4 2 2
Cartesian
0.000 0.000 0.000 Tm
2.011 0.000 5.004 Sc
0.000 3.286 1.673 Sc
2.011 1.271 -2.219 Cu
2.011 1.271 2.219 Cu
0.000 2.014 4.457 Cu
0.000 2.014 8.896 Cu
2.011 2.097 0.000 Si
0.000 1.188 6.676 Si
0.000 0.000 2.946 Ge
0.000 0.000 10.406 Ge
```



[9]
# Li2Cd2In2NiPd

A relaxed Li2Cd2In2NiPd crystal (GGA-PBE, the Open Quantum Materials Database).

Structure (POSCAR):
```
Li2Cd2In2NiPd
1.0
4.546 0.000 0.000
0.000 4.546 0.000
0.000 0.000 6.482
Li Cd In Ni Pd
2 2 2 1 1
Cartesian
0.000 0.000 0.000 Li
2.273 2.273 3.241 Li
0.000 2.273 1.554 Cd
2.273 0.000 4.927 Cd
0.000 2.273 4.924 In
2.273 0.000 1.557 In
2.273 2.273 0.000 Ni
0.000 0.000 3.241 Pd
```



[10]
# Li2NbGa

A relaxed Li2NbGa crystal (GGA-PBE, the Open Quantum Materials Database).

Structure (POSCAR):
```
Li2NbGa
1.0
6.234 0.000 0.000
0.000 6.234 0.000
0.000 0.000 6.234
Li Nb Ga
8 4 4
Cartesian
0.000 0.000 0.000 Li
0.000 3.117 3.117 Li
1.558 1.558 1.558 Li
1.558 4.675 4.675 Li
3.117 0.000 3.117 Li
3.117 3.117 0.000 Li
4.675 1.558 4.675 Li
4.675 4.675 1.558 Li
1.558 1.558 4.675 Nb
1.558 4.675 1.558 Nb
4.675 1.558 1.558 Nb
4.675 4.675 4.675 Nb
0.000 0.000 3.117 Ga
0.000 3.117 0.000 Ga
3.117 0.000 0.000 Ga
3.117 3.117 3.117 Ga
```



How do the records compare in E_tot? In the order shown, they have -10.590 -1.379 -8.462 -5.152 -5.774 -3.239 -4.603 -5.340 -3.063 -4.131 eV per atom.